{
  "formula": "MnHg2P",
  "functional": "GGA-PBEsol",
  "state": "relaxed",
  "space_group": "Pm (6)",
  "e_form_ev_per_atom": 0.07,
  "dos_ef_per_ev_fu": 2.53,
  "crystal_system": "monoclinic",
  "energy_ev_per_cell": -16.39,
  "lattice": [[2.947, 0.000, 0.000], [0.000, 3.342, -0.178], [0.000, -1.265, 7.388]],
  "species": ["Hg", "Hg", "Mn", "P"],
  "fractional_positions": [[0.000, 0.928, 0.975], [0.500, 0.576, 0.270], [0.000, 0.728, 0.588], [0.500, 0.268, 0.668]]
}

{
  "formula": "NaZn2Hg2",
  "functional": "GGA-PBEsol",
  "state": "relaxed",
  "space_group": "I4/mmm (139)",
  "e_form_ev_per_atom": -0.06,
  "dos_ef_per_ev_fu": 1.73,
  "crystal_system": "tetragonal",
  "energy_ev_per_cell": -5.99,
  "lattice": [[-2.381, -2.711, -1.742], [2.299, 0.087, -3.280], [3.732, -3.510, 4.970]],
  "species": ["Na", "Zn", "Zn", "Hg", "Hg"],
  "fractional_positions": [[0.000, 0.000, 0.000], [0.250, 0.750, 0.500], [0.750, 0.250, 0.500], [0.393, 0.393, 0.785], [0.607, 0.607, 0.215]]
}

{
  "formula": "Hg4Pt",
  "functional": "GGA-PBEsol",
  "state": "relaxed",
  "space_group": "Im-3m (229)",
  "e_form_ev_per_atom": -0.11,
  "dos_ef_per_ev_fu": 1.28,
  "crystal_system": "cubic",
  "energy_ev_per_cell": -9.80,
  "lattice": [[-1.652, -0.565, 5.106], [-3.739, -2.007, -3.333], [4.642, -2.662, -0.694]],
  "species": ["Hg", "Hg", "Hg", "Hg", "Pt"],
  "fractional_positions": [[0.000, 0.000, 0.500], [0.000, 0.500, 0.000], [0.500, 0.000, 0.000], [0.500, 0.500, 0.500], [0.000, 0.000, 0.000]]
}

{
  "formula": "KMn2Ir",
  "functional": "GGA-PBEsol",
  "state": "relaxed",
  "space_group": "Cm (8)",
  "e_form_ev_per_atom": 0.77,
  "dos_ef_per_ev_fu": 4.71,
  "crystal_system": "monoclinic",
  "energy_ev_per_cell": -27.39,
  "lattice": [[2.741, 0.000, 0.000], [-1.370, 4.070, 0.097], [0.000, -0.845, 7.170]],
  "species": ["Ir", "K", "Mn", "Mn"],
  "fractional_positions": [[0.517, 0.035, 0.611], [0.754, 0.508, 0.266], [0.975, 0.950, 0.901], [0.254, 0.507, 0.723]]
}